Entry 1:
# NdSm4Hg3 (PBE, optimized geometry)
data_NdSm4Hg3
_chemical_formula_sum 'Nd2 Sm8 Hg6'
_cell_length_a 4.9743
_cell_length_b 9.2243
_cell_length_c 9.9472
_cell_angle_alpha 90.00
_cell_angle_beta 90.00
_cell_angle_gamma 90.00
_symmetry_space_group_name_H-M 'P 1'
_symmetry_Int_Tables_number 1
loop_
_symmetry_equiv_pos_as_xyz
'x,y,z'
loop_
_atom_site_label
_atom_site_fract_x
_atom_site_fract_y
_atom_site_fract_z
Nd1 0.0000 0.5000 0.0000
Nd2 0.0000 0.5000 0.5000
Hg1 0.0000 0.0000 0.0000
Hg2 0.0000 0.0000 0.5000
Hg3 0.5002 0.0000 0.7500
Hg4 0.4998 0.0000 0.2500
Hg5 0.5003 0.5000 0.7500
Hg6 0.4997 0.5000 0.2500
Sm1 0.5000 0.7691 0.0000
Sm2 0.5000 0.7691 0.5000
Sm3 0.5000 0.2309 0.0000
Sm4 0.5000 0.2309 0.5000
Sm5 0.0001 0.7691 0.7500
Sm6 0.9999 0.7691 0.2500
Sm7 0.9999 0.2309 0.2500
Sm8 0.0001 0.2309 0.7500
# D(E_F)	9.49	states/eV/f.u.
# formation enthalpy at 0 K	-286	meV/atom
# total magnetization	0.000	μB per formula unit
# V	28.53	A^3/atom

=====

Entry 2:
# MoPb2WN (PBE, optimized geometry)
data_MoPb2WN
_chemical_formula_sum 'Mo1 Pb2 W1 N1'
_cell_length_a 5.8796
_cell_length_b 3.8334
_cell_length_c 5.8796
_cell_angle_alpha 90.00
_cell_angle_beta 90.00
_cell_angle_gamma 90.00
_symmetry_space_group_name_H-M 'P 1'
_symmetry_Int_Tables_number 1
loop_
_symmetry_equiv_pos_as_xyz
'x,y,z'
loop_
_atom_site_label
_atom_site_fract_x
_atom_site_fract_y
_atom_site_fract_z
Pb1 0.0000 0.0000 0.5000
Pb2 0.5000 0.0000 0.0000
Mo1 0.5000 0.5000 0.5000
W1 0.0000 0.0000 0.0000
N1 0.0000 0.5000 0.0000
# D(E_F)	4.72	states/eV/f.u.
# raw formation energy	1.244	eV/atom
# total magnetization	4.664	μB per formula unit
# V	26.50	A^3/atom

=====

Entry 3:
# RbLiNi2Au (PBE, optimized geometry)
data_RbLiNi2Au
_chemical_formula_sum 'Rb1 Li1 Ni2 Au1'
_cell_length_a 4.9222
_cell_length_b 4.9346
_cell_length_c 4.9222
_cell_angle_alpha 90.00
_cell_angle_beta 90.00
_cell_angle_gamma 90.00
_symmetry_space_group_name_H-M 'P 1'
_symmetry_Int_Tables_number 1
loop_
_symmetry_equiv_pos_as_xyz
'x,y,z'
loop_
_atom_site_label
_atom_site_fract_x
_atom_site_fract_y
_atom_site_fract_z
Ni1 0.0000 0.0000 0.5000
Ni2 0.5000 0.0000 0.0000
Au1 0.0000 0.0000 0.0000
Rb1 0.5000 0.5000 0.5000
Li1 0.0000 0.5000 0.0000
# D(E_F)	5.63	states/eV/f.u.
# formation enthalpy at 0 K	491	meV/atom
# total magnetization	1.061	μB per formula unit
# V	23.91	A^3/atom

=====

Entry 4:
# MgTcPt4 (PBE, optimized geometry)
data_MgTcPt4
_chemical_formula_sum 'Mg1 Tc1 Pt4'
_cell_length_a 5.2694
_cell_length_b 5.2694
_cell_length_c 5.2694
_cell_angle_alpha 60.00
_cell_angle_beta 60.00
_cell_angle_gamma 60.00
_symmetry_space_group_name_H-M 'P 1'
_symmetry_Int_Tables_number 1
loop_
_symmetry_equiv_pos_as_xyz
'x,y,z'
loop_
_atom_site_label
_atom_site_fract_x
_atom_site_fract_y
_atom_site_fract_z
Mg1 0.0000 0.0000 0.0000
Tc1 0.2500 0.2500 0.2500
Pt1 0.6250 0.6250 0.1249
Pt2 0.6250 0.1249 0.6250
Pt3 0.6250 0.6250 0.6250
Pt4 0.1249 0.6250 0.6250
# D(E_F)	3.10	states/eV/f.u.
# formation enthalpy at 0 K	-43	meV/atom
# total magnetization	3.344	μB per formula unit
# V	17.24	A^3/atom

=====

Entry 5:
# Al5Re (PBE, optimized geometry)
data_Al5Re
_chemical_formula_sum 'Al5 Re1'
_cell_length_a 2.8177
_cell_length_b 2.8177
_cell_length_c 12.0361
_cell_angle_alpha 90.00
_cell_angle_beta 90.00
_cell_angle_gamma 90.00
_symmetry_space_group_name_H-M 'P 1'
_symmetry_Int_Tables_number 1
loop_
_symmetry_equiv_pos_as_xyz
'x,y,z'
loop_
_atom_site_label
_atom_site_fract_x
_atom_site_fract_y
_atom_site_fract_z
Al1 0.0000 0.0000 0.8498
Al2 0.0000 0.0000 0.1502
Al3 0.5000 0.5000 0.6755
Al4 0.5000 0.5000 0.3245
Al5 0.0000 0.0000 0.5000
Re1 0.5000 0.5000 0.0000
# D(E_F)	3.66	states/eV/f.u.
# formation enthalpy at 0 K	8	meV/atom
# total magnetization	0.000	μB per formula unit
# V	15.93	A^3/atom

=====

Entry 6:
# RbHfMn3 (PBE, optimized geometry)
data_RbHfMn3
_chemical_formula_sum 'Rb1 Hf1 Mn3'
_cell_length_a 5.2268
_cell_length_b 5.2268
_cell_length_c 5.2268
_cell_angle_alpha 90.00
_cell_angle_beta 90.00
_cell_angle_gamma 90.00
_symmetry_space_group_name_H-M 'P 1'
_symmetry_Int_Tables_number 1
loop_
_symmetry_equiv_pos_as_xyz
'x,y,z'
loop_
_atom_site_label
_atom_site_fract_x
_atom_site_fract_y
_atom_site_fract_z
Mn1 0.0000 0.5000 0.0000
Mn2 0.0000 0.0000 0.5000
Mn3 0.5000 0.0000 0.0000
Hf1 0.0000 0.0000 0.0000
Rb1 0.5000 0.5000 0.5000
# D(E_F)	5.86	states/eV/f.u.
# formation enthalpy at 0 K	1264	meV/atom
# total magnetization	10.598	μB per formula unit
# V	28.56	A^3/atom

=====

Entry 7:
# PdSN2O (PBE, optimized geometry)
data_PdSN2O
_chemical_formula_sum 'Pd1 S1 N2 O1'
_cell_length_a 3.8376
_cell_length_b 3.8376
_cell_length_c 5.1065
_cell_angle_alpha 90.00
_cell_angle_beta 90.00
_cell_angle_gamma 90.00
_symmetry_space_group_name_H-M 'P 1'
_symmetry_Int_Tables_number 1
loop_
_symmetry_equiv_pos_as_xyz
'x,y,z'
loop_
_atom_site_label
_atom_site_fract_x
_atom_site_fract_y
_atom_site_fract_z
S1 0.0000 0.0000 0.5000
O1 0.5000 0.5000 0.5000
Pd1 0.0000 0.0000 0.0000
N1 0.0000 0.5000 0.0000
N2 0.5000 0.0000 0.0000
# D(E_F)	3.80	states/eV/f.u.
# raw formation energy	2.008	eV/atom
# total magnetization	3.723	μB per formula unit
# V	15.04	A^3/atom